No. 1
The following is a DFT calculation (GGA-PBE) of an optimized crystal structure of AlMo.

Properties
The value obtained for the total magnetic moment is 0.001 μB per formula unit. For the formation enthalpy at 0 K, the calculation gives 0.265 eV/atom. The space group is P6_3/mmc (194). The value obtained for the density of states at the Fermi level is 1.053 states/eV per atom.

abc: 4.3827 4.3827 8.2951
angles: 90.00 90.00 120.00
Closest atoms and distances in Å follow each position.
Element x y z (fractional)
Al 0.3333 0.6667 0.0779  7 Mo 2.72-2.91, 4 Al 2.84-2.86
Al 0.3333 0.6667 0.4221  7 Mo 2.72-2.91, 4 Al 2.84-2.86
Al 0.6667 0.3333 0.5779  7 Mo 2.72-2.91, 4 Al 2.84-2.86
Al 0.6667 0.3333 0.9221  7 Mo 2.72-2.91, 4 Al 2.84-2.86
Mo 0.0000 0.0000 0.2500  3 Mo 2.53
Mo 0.0000 0.0000 0.7500  3 Mo 2.53
Mo 0.3333 0.6667 0.7500  3 Mo 2.53, 2 Al 2.72
Mo 0.6667 0.3333 0.2500  3 Mo 2.53, 2 Al 2.72

=====

No. 2
The following is a DFT calculation (GGA-PBE) of an optimized crystal structure of AlMo.

Properties
The value obtained for the total magnetic moment is 0.000 μB per formula unit. For the formation enthalpy at 0 K, the calculation gives -0.049 eV/atom. The space group is I4/mmm (139). The value obtained for the density of states at the Fermi level is 0.583 states/eV per atom.

abc: 6.6887 6.6887 6.6887
angles: 93.23 93.23 152.53
Closest atoms and distances in Å follow each position.
Element x y z (fractional)
Al 0.1615 0.1615 0.3230  4 Mo 2.68, 4 Al 2.80-2.97
Al 0.1615 0.8385 0.0000  4 Mo 2.68, 4 Al 2.80-2.97
Al 0.8385 0.1615 0.0000  4 Mo 2.68, 4 Al 2.80-2.97
Al 0.8385 0.8385 0.6770  4 Mo 2.68, 4 Al 2.80-2.97
Mo 0.1675 0.5000 0.6675  4 Al 2.68, 4 Mo 2.69
Mo 0.5000 0.1675 0.6675  4 Al 2.68, 4 Mo 2.69
Mo 0.5000 0.8325 0.3325  4 Al 2.68, 4 Mo 2.69
Mo 0.8325 0.5000 0.3325  4 Al 2.68, 4 Mo 2.69

=====

No. 3
The following is a DFT calculation (GGA-PBE) of an optimized crystal structure of AlMo5.

Properties
The value obtained for the total magnetic moment is 0.000 μB per formula unit. For the formation enthalpy at 0 K, the calculation gives -0.028 eV/atom. As for the energy above the most stable polymorph in this dataset: 0.066 eV per atom. The space group is Cmmm (65). The value obtained for the density of states at the Fermi level is 1.038 states/eV per atom.

abc: 6.9788 6.9788 3.2092
angles: 90.00 90.00 143.11
Closest atoms and distances in Å follow each position.
Element x y z (fractional)
Al 0.0000 0.0000 0.0000  8 Mo 2.73-2.76
Mo 0.1695 0.8305 0.5000  6 Mo 2.73-2.74, 2 Al 2.76
Mo 0.3370 0.6630 0.0000  8 Mo 2.69-2.74
Mo 0.5000 0.5000 0.5000  4 Mo 2.69, 4 Al 2.73
Mo 0.6630 0.3370 0.0000  8 Mo 2.69-2.74
Mo 0.8305 0.1695 0.5000  6 Mo 2.73-2.74, 2 Al 2.76

=====

No. 4
The following is a DFT calculation (GGA-PBE) of an optimized crystal structure of Al3Mo.

Properties
The value obtained for the total magnetic moment is 0.000 μB per formula unit. For the formation enthalpy at 0 K, the calculation gives -0.233 eV/atom. The space group is Pmmn (59). The value obtained for the density of states at the Fermi level is 0.643 states/eV per atom.

abc: 4.6543 5.2862 4.9482
angles: 90.00 90.00 90.00
Closest atoms and distances in Å follow each position.
Element x y z (fractional)
Al 0.2500 0.0003 0.1486  8 Al 2.64-2.85, 4 Mo 2.76-2.88
Al 0.2500 0.2500 0.6514  4 Mo 2.64-2.73, 8 Al 2.79-2.85
Al 0.2500 0.4997 0.1486  8 Al 2.64-2.85, 4 Mo 2.76-2.88
Al 0.7500 0.9997 0.8514  8 Al 2.64-2.85, 4 Mo 2.76-2.88
Al 0.7500 0.5003 0.8514  8 Al 2.64-2.85, 4 Mo 2.76-2.88
Al 0.7500 0.7500 0.3486  4 Mo 2.64-2.73, 8 Al 2.79-2.85
Mo 0.2500 0.7500 0.6385  12 Al 2.64-2.88
Mo 0.7500 0.2500 0.3615  12 Al 2.64-2.88

=====

No. 5
The following is a DFT calculation (GGA-PBE) of an optimized crystal structure of Al3Mo.

Properties
The value obtained for the total magnetic moment is 0.000 μB per formula unit. For the formation enthalpy at 0 K, the calculation gives 0.796 eV/atom. The space group is Pm-3m (221). The value obtained for the density of states at the Fermi level is 0.484 states/eV per atom.

abc: 4.9037 4.9037 4.9037
angles: 90.00 90.00 90.00
Closest atoms and distances in Å follow each position.
Element x y z (fractional)
Al 0.0000 0.0000 0.5000  2 Mo 2.45
Al 0.0000 0.5000 0.0000  2 Mo 2.45
Al 0.5000 0.0000 0.0000  2 Mo 2.45
Mo 0.0000 0.0000 0.0000  6 Al 2.45

=====

No. 6
The following is a DFT calculation (GGA-PBE) of an optimized crystal structure of AlMo5.

Properties
The value obtained for the total magnetic moment is 0.000 μB per formula unit. For the formation enthalpy at 0 K, the calculation gives 0.170 eV/atom. As for the energy above the most stable polymorph in this dataset: 0.264 eV per atom. The space group is Amm2 (38). The value obtained for the density of states at the Fermi level is 0.914 states/eV per atom.

abc: 4.6377 7.8967 7.8967
angles: 19.23 90.00 90.00
Closest atoms and distances in Å follow each position.
Element x y z (fractional)
Al 0.0000 0.0000 0.0000  2 Al 2.64, 10 Mo 2.78-2.93
Mo 0.0000 0.3323 0.3323  8 Mo 2.64-2.88, 2 Al 2.93
Mo 0.0000 0.6603 0.6603  8 Mo 2.64-2.91, 2 Al 2.82
Mo 0.5000 0.2354 0.2354  10 Mo 2.64-2.91
Mo 0.5000 0.5644 0.5644  6 Mo 2.64-2.85, 4 Al 2.85
Mo 0.5000 0.9021 0.9021  10 Mo 2.64-2.91, 2 Al 2.78

=====

No. 7
The following is a DFT calculation (GGA-PBE) of an optimized crystal structure of AlMo.

Properties
The value obtained for the total magnetic moment is 0.000 μB per formula unit. For the formation enthalpy at 0 K, the calculation gives -0.151 eV/atom. The space group is Imma (74). The value obtained for the density of states at the Fermi level is 0.718 states/eV per atom.

abc: 5.0539 5.0539 5.0539
angles: 141.14 129.35 65.62
Closest atoms and distances in Å follow each position.
Element x y z (fractional)
Al 0.3700 0.1200 0.2500  8 Mo 2.73-3.01, 4 Al 2.78-2.97
Al 0.6300 0.8800 0.7500  8 Mo 2.73-3.01, 4 Al 2.78-2.97
Mo 0.1165 0.3665 0.7500  2 Mo 2.60, 6 Al 2.73-2.74
Mo 0.8835 0.6335 0.2500  2 Mo 2.60, 6 Al 2.73-2.74

=====

No. 8
The following is a DFT calculation (GGA-PBE) of an optimized crystal structure of AlMo2.

Properties
The value obtained for the total magnetic moment is 0.000 μB per formula unit. For the formation enthalpy at 0 K, the calculation gives 0.026 eV/atom. As for the energy above the most stable polymorph in this dataset: 0.199 eV per atom. The space group is P6_3/mmc (194). The value obtained for the density of states at the Fermi level is 0.842 states/eV per atom.

abc: 4.5278 4.5278 5.2230
angles: 90.00 90.00 120.00
Closest atoms and distances in Å follow each position.
Element x y z (fractional)
Al 0.3333 0.6667 0.2500  11 Mo 2.61-2.92
Al 0.6667 0.3333 0.7500  11 Mo 2.61-2.92
Mo 0.0000 0.0000 0.0000  8 Mo 2.61-2.92, 6 Al 2.92
Mo 0.0000 0.0000 0.5000  8 Mo 2.61-2.92, 6 Al 2.92
Mo 0.3333 0.6667 0.7500  5 Al 2.61, 6 Mo 2.92
Mo 0.6667 0.3333 0.2500  5 Al 2.61, 6 Mo 2.92

=====

No. 9
The following is a DFT calculation (GGA-PBE) of an optimized crystal structure of AlMo2.

Properties
The value obtained for the total magnetic moment is 0.000 μB per formula unit. For the formation enthalpy at 0 K, the calculation gives -0.173 eV/atom. As for the energy above the most stable polymorph in this dataset: 0.000 eV per atom. The space group is P-3m1 (164). The value obtained for the density of states at the Fermi level is 0.548 states/eV per atom.

abc: 4.4369 4.4369 2.7319
angles: 90.00 90.00 120.00
Closest atoms and distances in Å follow each position.
Element x y z (fractional)
Al 0.0000 0.0000 0.0000  2 Al 2.73, 6 Mo 2.76
Mo 0.3333 0.6667 0.3758  5 Mo 2.65-2.73, 3 Al 2.76
Mo 0.6667 0.3333 0.6242  5 Mo 2.65-2.73, 3 Al 2.76

=====

No. 10
The following is a DFT calculation (GGA-PBE) of an optimized crystal structure of AlMo.

Properties
The value obtained for the total magnetic moment is 0.185 μB per formula unit. For the formation enthalpy at 0 K, the calculation gives 1.039 eV/atom. The space group is P6_3/mmc (194). The value obtained for the density of states at the Fermi level is 1.214 states/eV per atom.

abc: 4.4121 4.4121 4.9825
angles: 90.00 90.00 120.00
Closest atoms and distances in Å follow each position.
Element x y z (fractional)
Al 0.3333 0.6667 0.2500  5 Mo 2.49-2.55
Al 0.6667 0.3333 0.7500  5 Mo 2.49-2.55
Mo 0.3333 0.6667 0.7500  5 Al 2.49-2.55
Mo 0.6667 0.3333 0.2500  5 Al 2.49-2.55

=====

No. 11
The following is a DFT calculation (GGA-PBE) of an optimized crystal structure of AlMo2.

Properties
The value obtained for the total magnetic moment is 0.000 μB per formula unit. For the formation enthalpy at 0 K, the calculation gives 0.190 eV/atom. As for the energy above the most stable polymorph in this dataset: 0.363 eV per atom. The space group is I4_1/amd (141). The value obtained for the density of states at the Fermi level is 0.589 states/eV per atom.

abc: 13.3999 13.3999 13.3999
angles: 168.52 168.52 16.26
Closest atoms and distances in Å follow each position.
Element x y z (fractional)
Al 0.3750 0.6250 0.7500  4 Al 2.68, 8 Mo 2.81
Al 0.6250 0.3750 0.2500  4 Al 2.68, 8 Mo 2.81
Mo 0.0469 0.7969 0.2500  6 Mo 2.68-2.83, 4 Al 2.81
Mo 0.2031 0.9531 0.2500  6 Mo 2.68-2.83, 4 Al 2.81
Mo 0.7969 0.0469 0.7500  6 Mo 2.68-2.83, 4 Al 2.81
Mo 0.9531 0.2031 0.7500  6 Mo 2.68-2.83, 4 Al 2.81

=====

No. 12
The following is a DFT calculation (GGA-PBE) of an optimized crystal structure of AlMo.

Properties
The value obtained for the total magnetic moment is 0.000 μB per formula unit. For the formation enthalpy at 0 K, the calculation gives 0.070 eV/atom. The space group is P4/nmm (129). The value obtained for the density of states at the Fermi level is 0.899 states/eV per atom.

abc: 2.7034 2.7034 8.6443
angles: 90.00 90.00 90.00
Closest atoms and distances in Å follow each position.
Element x y z (fractional)
Al 0.2500 0.2500 0.1295  8 Al 2.70-2.94, 4 Mo 2.80
Al 0.7500 0.7500 0.8705  8 Al 2.70-2.94, 4 Mo 2.80
Mo 0.2500 0.2500 0.6336  8 Mo 2.70-3.00, 4 Al 2.80
Mo 0.7500 0.7500 0.3664  8 Mo 2.70-3.00, 4 Al 2.80